1.
A relaxed structure of Pr4TlCd. Source: Alexandria, functional PBE-GGA.

Cell: 7.100 7.100 7.688 Å, 105.73 105.73 31.33°
Fractional coordinates of all 6 atoms:
Pr 0.153 0.153 0.330
Pr 0.155 0.155 0.824
Pr 0.845 0.845 0.176
Pr 0.847 0.847 0.670
Tl 0.500 0.500 0.000
Cd 0.500 0.500 0.500

## Properties
Mass density (g/cm3): 7.56
Fermi-level density of states (states/eV/cell): 8.60
DFT formation energy (eV/atom): -0.21
Final energy (eV for the cell shown): -23.7
Crystal system: monoclinic
Symmetry: C2/m, No. 12



2.
A relaxed structure of Pr7Tl2Cd. Source: Alexandria, functional PBE-GGA.

Cell: 5.465 5.465 13.341 Å, 90.00 90.00 120.00°
Fractional coordinates of all 10 atoms:
Pr 0.000 0.000 0.000
Pr 0.000 0.000 0.263
Pr 0.000 0.000 0.736
Pr 0.333 0.667 0.412
Pr 0.333 0.667 0.885
Pr 0.667 0.333 0.127
Pr 0.667 0.333 0.587
Tl 0.000 0.000 0.499
Tl 0.667 0.333 0.845
Cd 0.333 0.667 0.147

## Properties
Mass density (g/cm3): 7.26
Fermi-level density of states (states/eV/cell): 16.70
DFT formation energy (eV/atom): -0.07
Final energy (eV for the cell shown): -39.8
Crystal system: trigonal
Symmetry: P3m1, No. 156